(1)
# LiOs2Br

A geometry-optimized LiOs2Br structure (PBE, Alexandria).

Results
Energy above the lowest structure with this stoichiometry in eV per atom: 0.945
Raw formation energy in eV/atom: 1.27
Total moment in μB per cell: 0.00

Cell lengths 4.317, 4.317, 3.057 Å; angles 90.00, 90.00, 90.00 degrees
Sites, in units of the cell vectors:
Br1 0.500 0.000 0.500
Os1 0.500 0.500 0.000
Os2 0.000 0.000 0.000
Li1 0.000 0.500 0.500


(2)
# TbTlCdI6

A geometry-optimized TbTlCdI6 structure (PBE, Alexandria).

Results
Raw formation energy in eV/atom: -0.94
Total moment in μB per cell: 0.00

Cell lengths 7.824, 7.824, 15.364 Å; angles 90.00, 90.00, 120.00 degrees
Sites, in units of the cell vectors:
I1 0.635 0.002 0.864
I2 0.632 0.998 0.364
I3 0.998 0.365 0.636
I4 0.365 0.998 0.136
I5 0.002 0.368 0.136
I6 0.368 0.002 0.636
I7 0.998 0.632 0.864
I8 0.632 0.635 0.136
I9 0.368 0.365 0.864
I10 0.635 0.632 0.636
I11 0.365 0.368 0.364
I12 0.002 0.635 0.364
Tl1 0.000 0.000 0.500
Tl2 0.000 0.000 0.000
Cd1 0.667 0.333 0.750
Cd2 0.333 0.667 0.250
Tb1 0.667 0.333 0.250
Tb2 0.333 0.667 0.750


(3)
# Ca2YCo

A geometry-optimized Ca2YCo structure (PBE, Alexandria).

Results
Energy above the lowest structure with this stoichiometry in eV per atom: 0.000
ΔH_f (0 K) in eV/f.u.: 0.206
Total moment in μB per cell: 0.46

Cell lengths 3.507, 3.507, 9.293 Å; angles 90.00, 90.00, 90.00 degrees
Site moments in Bohr magnetons follow the coordinates.
Sites, in units of the cell vectors:
Ca1 0.000 0.000 0.986  0.01
Ca2 0.500 0.500 0.323  -0.05
Co1 0.000 0.000 0.521  0.86
Y1 0.500 0.500 0.670  -0.15


(4)
# CaSc2HgO

A geometry-optimized CaSc2HgO structure (PBE, Alexandria).

Results
Raw formation energy in eV/atom: -1.37
Total moment in μB per cell: 0.00

Cell lengths 4.480, 4.743, 4.480 Å; angles 90.00, 90.00, 90.00 degrees
Sites, in units of the cell vectors:
Hg1 0.500 0.500 0.500
Ca1 0.000 0.500 0.000
Sc1 0.500 0.000 0.000
Sc2 0.000 0.000 0.500
O1 0.000 0.000 0.000